A plane-wave DFT calculation with PBE was carried out for a relaxed structure of LiTbNiTe3.

abc: 7.6073 7.6073 10.6728
angles: 90.00 90.00 30.98
With the nearest neighbours (Å) after each atom.
Positions (direct):
Li  0.2340  0.2340  0.2500  6 Te 2.97-3.18
Li  0.7660  0.7660  0.7500  6 Te 2.97-3.18
Ni  0.5112  0.5112  0.2500  4 Te 2.56-2.60
Ni  0.4888  0.4888  0.7500  4 Te 2.56-2.60
Tb  0.0000  0.0000  0.0000  6 Te 3.04-3.06, 4 Ni 3.36
Tb  0.0000  0.0000  0.5000  6 Te 3.04-3.06, 4 Ni 3.36
Te  0.6418  0.6418  0.0908  1 Ni 2.56
Te  0.9009  0.9009  0.2500  2 Ni 2.60
Te  0.6418  0.6418  0.4092  1 Ni 2.56
Te  0.3582  0.3582  0.5908  1 Ni 2.56
Te  0.0991  0.0991  0.7500  2 Ni 2.60
Te  0.3582  0.3582  0.9092  1 Ni 2.56

Calculated values
For the total moment, the calculation gives 0.0009 μB per atom. The calculated volume is 26.5 Å³ per atom. Its total energy is -4.388 eV per atom.